[1]
10
Lattice="3.494 0.000 0.000 0.000 3.494 0.000 0.000 0.000 23.480" Properties=species:S:1:pos:R:3 comment="Er4Tm5Zn PBE relaxed" sg=P4/mmm pbc="T T T"
Er 0.000 0.000 2.483
Er 0.000 0.000 7.440
Er 0.000 0.000 16.041
Er 0.000 0.000 20.997
Tm 1.747 1.747 0.000
Tm 1.747 1.747 4.980
Tm 1.747 1.747 9.978
Tm 1.747 1.747 13.502
Tm 1.747 1.747 18.500
Zn 0.000 0.000 11.740

***

[2]
12
Lattice="7.441 -2.524 0.000 7.441 2.524 0.000 -4.680 0.000 7.101" Properties=species:S:1:pos:R:3 comment="PuBi2Pd3 PBE relaxed" sg=C2/m pbc="T T T"
Pu 1.503 0.000 0.999
Pu 8.699 0.000 6.102
Bi -0.023 0.000 4.096
Bi 3.577 0.000 5.587
Bi 6.625 0.000 1.514
Bi 10.225 0.000 3.005
Pd -2.666 0.000 5.168
Pd -0.348 0.000 6.899
Pd 3.978 0.000 2.594
Pd 6.224 0.000 4.507
Pd 10.550 0.000 0.202
Pd 12.867 0.000 1.933

***

no.,ΔE_f (meV per atom)
1,-50
2,-329